# 1
First-principles (PBE-GGA) data for Ti2Ga3Pd after structural relaxation, as listed in Alexandria.

```
Ti2Ga3Pd
1.0
-1.121 -4.258 7.535
4.976 -0.576 0.415
-2.118 4.097 2.000
Ti Ga Pd
4 6 2
Direct
0.720 0.514 0.185
0.220 0.815 0.486
0.220 0.486 0.815
0.720 0.185 0.514
0.470 0.500 0.500
0.970 0.164 0.836
0.970 0.500 0.500
0.470 0.836 0.164
0.970 0.836 0.164
0.470 0.164 0.836
0.220 0.136 0.136
0.720 0.864 0.864
```

Summary:
Magnetic moment, μB/atom: 0.000
SG: No. 63

=====

# 2
First-principles (PBE-GGA) data for Ti3GaPd3 after structural relaxation, as listed in Alexandria.

```
Ti3GaPd3
1.0
6.462 -0.053 -0.001
-0.038 6.462 -0.001
0.001 0.001 5.486
Ti Ga Pd
6 2 6
Direct
0.656 0.656 0.500
0.344 0.344 0.500
0.643 0.357 0.000
0.232 0.768 0.500
0.357 0.643 0.000
0.768 0.232 0.500
0.240 0.240 0.000
0.760 0.760 0.000
0.000 0.500 0.751
0.500 0.000 0.249
0.500 0.000 0.751
0.000 0.000 0.245
0.000 0.000 0.755
0.000 0.500 0.249
```

Summary:
Magnetic moment, μB/atom: 0.130
SG: No. 65

=====

# 3
First-principles (PBE-GGA) data for Ti4Ga6Pd7 after structural relaxation, as listed in Alexandria.

```
Ti4Ga6Pd7
1.0
-1.096 6.628 -2.136
-5.953 -3.710 -0.704
1.978 0.008 6.767
Ti Pd Ga
4 7 6
Direct
0.500 0.500 0.500
0.000 0.000 0.500
0.500 0.000 0.000
0.000 0.500 0.000
0.250 0.500 0.750
0.750 0.500 0.250
0.250 0.750 0.500
0.000 0.000 0.000
0.500 0.750 0.250
0.750 0.250 0.500
0.500 0.250 0.750
0.000 0.307 0.307
0.307 0.000 0.307
0.307 0.307 0.000
0.000 0.693 0.693
0.693 0.693 0.000
0.693 0.000 0.693
```

Summary:
Magnetic moment, μB/atom: 0.001
SG: No. 229

=====

# 4
First-principles (PBE-GGA) data for TiVGaPd2 after structural relaxation, as listed in Alexandria.

```
TiVGaPd2
1.0
4.699 0.000 0.000
0.000 4.356 0.000
0.000 0.000 4.699
Pd Ga Ti V
2 1 1 1
Direct
0.000 0.000 0.500
0.500 0.000 0.000
0.500 0.500 0.500
0.000 0.000 0.000
0.000 0.500 0.000
```

Summary:
Magnetic moment, μB/atom: 0.011
SG: No. 123

=====

# 5
First-principles (PBE-GGA) data for TiZnGaPd after structural relaxation, as listed in Alexandria.

```
TiZnGaPd
1.0
-2.604 -2.194 2.208
2.537 -3.164 -0.152
1.678 3.849 2.075
Pd Ti Ga Zn
1 1 1 1
Direct
0.250 0.750 0.500
0.000 0.000 0.000
0.500 0.500 0.000
0.750 0.250 0.500
```

Summary:
Magnetic moment, μB/atom: 0.000
SG: No. 119

=====

# 6
First-principles (PBE-GGA) data for TiZnGaPd after structural relaxation, as listed in Alexandria.

```
TiZnGaPd
1.0
-1.152 2.391 3.519
1.132 -1.342 4.043
3.071 2.198 2.272
Ti Ga Pd Zn
1 1 1 1
Direct
0.250 0.250 0.250
0.500 0.500 0.500
0.750 0.750 0.750
0.000 0.000 0.000
```

Summary:
Magnetic moment, μB/atom: 0.206
SG: No. 216

=====

# 7
First-principles (PBE-GGA) data for Tl2GaPd2 after structural relaxation, as listed in Alexandria.

```
Tl2GaPd2
1.0
-4.050 0.556 7.123
-4.860 -6.216 -2.278
1.986 -2.025 1.287
Tl Pd Ga
4 4 2
Direct
0.338 0.838 0.000
0.162 0.338 0.000
0.838 0.662 0.000
0.662 0.162 0.000
0.134 0.634 0.500
0.634 0.866 0.500
0.866 0.366 0.500
0.366 0.134 0.500
0.500 0.500 0.000
0.000 0.000 0.000
```

Summary:
Magnetic moment, μB/atom: 0.000
SG: No. 127
Energy above the lowest structure with this stoichiometry, eV per atom: 0.142

=====

# 8
First-principles (PBE-GGA) data for TlGa9Pd2 after structural relaxation, as listed in Alexandria.

```
TlGa9Pd2
1.0
6.107 0.000 2.812
3.054 8.136 1.406
-0.349 0.000 8.796
Ga Tl Pd
18 2 4
Direct
0.327 0.068 0.693
0.327 0.693 0.068
0.662 0.568 0.193
0.145 0.193 0.432
0.088 0.307 0.932
0.605 0.307 0.068
0.750 0.500 0.500
0.770 0.568 0.807
0.980 0.932 0.693
0.980 0.693 0.932
0.145 0.432 0.193
0.423 0.807 0.432
0.088 0.932 0.307
0.000 0.000 0.000
0.423 0.432 0.807
0.770 0.807 0.568
0.662 0.193 0.568
0.605 0.068 0.307
0.500 0.000 0.000
0.250 0.500 0.500
0.875 0.750 0.250
0.875 0.250 0.750
0.875 0.250 0.250
0.375 0.750 0.750
```

Summary:
Magnetic moment, μB/atom: 0.000
SG: No. 141

=====

no.,energy of formation (eV per atom),mass density (g/cm3),V (Å³ per atom)
1,-0.36,7.1,16.1
2,-0.43,7.7,16.4
3,-0.55,8.3,15.9
4,0.72,6.6,19.2
5,-0.41,7.9,15.2
6,-0.41,7.9,15.1
7,-0.01,10.9,21.0
8,-0.19,7.8,18.5